1.
First-principles (GGA-PBE) data for a geometry-optimized VCrMo3 structure, as listed in Alexandria.

Cell lengths 5.367, 5.367, 6.870 Å; angles 113.05, 113.05, 60.09 degrees
Fractional positions:
V1 0.189 0.189 0.068
V2 0.811 0.811 0.932
Cr1 0.310 0.310 0.429
Cr2 0.690 0.690 0.571
Mo1 0.248 0.248 0.744
Mo2 0.248 0.747 0.744
Mo3 0.253 0.752 0.256
Mo4 0.747 0.248 0.744
Mo5 0.752 0.253 0.256
Mo6 0.752 0.752 0.256

Properties
DOS at the Fermi energy ... 5.59 states/eV/f.u.
Formation enthalpy at 0 K ... 404.7 meV per atom
Symmetry ... C2/m (12)
Relative energy among the computed polymorphs ... 18.2 meV per atom

***

2.
First-principles (GGA-PBE) data for a geometry-optimized VCr14Mo structure, as listed in Alexandria.

Cell lengths 5.000, 5.000, 8.201 Å; angles 90.00, 90.00, 109.28 degrees
Fractional positions:
V1 0.000 0.000 0.000
Cr1 0.000 0.000 0.500
Cr2 0.000 0.500 0.000
Cr3 0.000 0.500 0.500
Cr4 0.248 0.248 0.257
Cr5 0.248 0.248 0.743
Cr6 0.248 0.752 0.254
Cr7 0.248 0.752 0.746
Cr8 0.500 0.000 0.000
Cr9 0.500 0.000 0.500
Cr10 0.500 0.500 0.500
Cr11 0.752 0.248 0.254
Cr12 0.752 0.248 0.746
Cr13 0.752 0.752 0.257
Cr14 0.752 0.752 0.743
Mo1 0.500 0.500 0.000

Properties
DOS at the Fermi energy ... 11.53 states/eV/f.u.
Formation enthalpy at 0 K ... -8.5 meV per atom
Symmetry ... Cmmm (65)

***

3.
First-principles (GGA-PBE) data for a geometry-optimized V4CrMo structure, as listed in Alexandria.

Cell lengths 4.895, 4.895, 4.895 Å; angles 60.00, 60.00, 60.00 degrees
Fractional positions:
V1 0.125 0.125 0.125
V2 0.125 0.125 0.625
V3 0.125 0.625 0.125
V4 0.625 0.125 0.125
Cr1 0.750 0.750 0.750
Mo1 0.500 0.500 0.500

Properties
DOS at the Fermi energy ... 3.85 states/eV/f.u.
Formation enthalpy at 0 K ... 141.7 meV per atom
Symmetry ... F-43m (216)
Relative energy among the computed polymorphs ... 0.0 meV per atom

***

4.
First-principles (GGA-PBE) data for a geometry-optimized V2CrMo4 structure, as listed in Alexandria.

Cell lengths 5.215, 5.215, 4.254 Å; angles 90.00, 90.00, 109.91 degrees
Fractional positions:
V1 0.247 0.753 0.000
V2 0.753 0.247 0.000
Cr1 0.000 0.000 0.500
Mo1 0.000 0.500 0.500
Mo2 0.258 0.258 0.000
Mo3 0.500 0.000 0.500
Mo4 0.742 0.742 0.000

Properties
DOS at the Fermi energy ... 6.92 states/eV/f.u.
Formation enthalpy at 0 K ... 325.2 meV per atom
Symmetry ... Cmmm (65)
Relative energy among the computed polymorphs ... 211.4 meV per atom

***

5.
First-principles (GGA-PBE) data for a geometry-optimized VCr2Mo6 structure, as listed in Alexandria.

Cell lengths 6.643, 6.643, 8.753 Å; angles 117.84, 117.84, 23.89 degrees
Fractional positions:
V1 0.000 0.000 0.000
Cr1 0.377 0.377 0.737
Cr2 0.623 0.623 0.263
Mo1 0.054 0.054 0.726
Mo2 0.217 0.217 0.105
Mo3 0.335 0.335 0.449
Mo4 0.665 0.665 0.551
Mo5 0.783 0.783 0.895
Mo6 0.946 0.946 0.274

Properties
DOS at the Fermi energy ... 11.04 states/eV/f.u.
Formation enthalpy at 0 K ... 466.4 meV per atom
Symmetry ... C2/m (12)

***

6.
First-principles (GGA-PBE) data for a geometry-optimized V2CrMo3 structure, as listed in Alexandria.

Cell lengths 6.833, 6.833, 6.113 Å; angles 90.00, 90.00, 143.16 degrees
Fractional positions:
V1 0.000 0.000 0.000
V2 0.000 0.000 0.500
V3 0.333 0.667 0.000
V4 0.667 0.333 0.000
Cr1 0.333 0.667 0.500
Cr2 0.667 0.333 0.500
Mo1 0.168 0.832 0.253
Mo2 0.168 0.832 0.747
Mo3 0.500 0.500 0.252
Mo4 0.500 0.500 0.748
Mo5 0.832 0.168 0.253
Mo6 0.832 0.168 0.747

Properties
DOS at the Fermi energy ... 3.29 states/eV/f.u.
Formation enthalpy at 0 K ... -91.4 meV per atom
Symmetry ... Cmmm (65)

***

7.
First-principles (GGA-PBE) data for a geometry-optimized V12CrMo3 structure, as listed in Alexandria.

Cell lengths 3.519, 3.519, 18.076 Å; angles 90.00, 90.00, 90.00 degrees
Fractional positions:
V1 0.000 0.000 0.000
V2 0.000 0.000 0.247
V3 0.000 0.000 0.500
V4 0.000 0.000 0.753
V5 0.000 0.500 0.120
V6 0.000 0.500 0.373
V7 0.000 0.500 0.627
V8 0.000 0.500 0.880
V9 0.500 0.000 0.120
V10 0.500 0.000 0.373
V11 0.500 0.000 0.627
V12 0.500 0.000 0.880
Cr1 0.500 0.500 0.000
Mo1 0.500 0.500 0.247
Mo2 0.500 0.500 0.500
Mo3 0.500 0.500 0.753

Properties
DOS at the Fermi energy ... 19.74 states/eV/f.u.
Formation enthalpy at 0 K ... 88.4 meV per atom
Symmetry ... P4/mmm (123)

***

8.
First-principles (GGA-PBE) data for a geometry-optimized VCrMo3 structure, as listed in Alexandria.

Cell lengths 4.928, 4.928, 7.375 Å; angles 99.96, 99.96, 115.02 degrees
Fractional positions:
V1 0.232 0.232 0.022
V2 0.768 0.768 0.978
Cr1 0.260 0.740 0.500
Cr2 0.740 0.260 0.500
Mo1 0.198 0.198 0.384
Mo2 0.211 0.541 0.778
Mo3 0.459 0.789 0.222
Mo4 0.541 0.211 0.778
Mo5 0.789 0.459 0.222
Mo6 0.802 0.802 0.616

Properties
DOS at the Fermi energy ... 4.91 states/eV/f.u.
Formation enthalpy at 0 K ... 386.5 meV per atom
Symmetry ... C2/m (12)
Relative energy among the computed polymorphs ... 0.0 meV per atom